No. 1
Material: SrScRu2
Method: DFT, meta-GGA SCAN
State: PBEsol geometry

```
data_SrScRu2
_space_group_name_H-M_alt 'I -4 m 2'
_space_group_IT_number 119
_space_group_name_Hall 'I -4 -2'
_cell_length_a 3.931
_cell_length_b 3.931
_cell_length_c 9.572
_cell_angle_alpha 90.00
_cell_angle_beta 90.00
_cell_angle_gamma 90.00
loop_
_atom_site_label
_atom_site_type_symbol
_atom_site_fract_x
_atom_site_fract_y
_atom_site_fract_z
_atom_site_occupancy
Sr1 Sr 0.000 0.000 0.000 1
Sc1 Sc 0.000 0.500 0.750 1
Ru1 Ru 0.000 0.000 0.500 1
Ru2 Ru 0.000 0.500 0.250 1
```

Summary:
Total moment ... 0.958 μB per cell
Density of states at the Fermi level ... 3.48 states/eV/f.u.
Formation energy from the elements ... 0.554 eV/atom
Total energy ... -207.896 eV per cell

***

No. 2
Material: SrScRu
Method: DFT, meta-GGA SCAN
State: PBEsol geometry

```
data_SrScRu
_space_group_name_H-M_alt 'P 3 m 1'
_space_group_IT_number 156
_space_group_name_Hall 'P 3 -2"'
_cell_length_a 3.4963
_cell_length_b 3.4963
_cell_length_c 7.0891
_cell_angle_alpha 90.00
_cell_angle_beta 90.00
_cell_angle_gamma 120.00
loop_
_atom_site_label
_atom_site_type_symbol
_atom_site_fract_x
_atom_site_fract_y
_atom_site_fract_z
_atom_site_occupancy
Sr1 Sr 0.0000 0.0000 0.0000 1
Sc1 Sc 0.6667 0.3333 0.4698 1
Ru1 Ru 0.3333 0.6667 0.6895 1
```

Summary:
Total moment ... 0.110 μB per cell
Density of states at the Fermi level ... 2.76 states/eV/f.u.
Formation energy from the elements ... 0.251 eV/atom
Total energy ... -70.585 eV per cell

***

No. 3
Material: SrScTl2Ru
Method: DFT, meta-GGA SCAN
State: PBEsol geometry

```
data_SrScTl2Ru
_space_group_name_H-M_alt 'P 4/m m m'
_space_group_IT_number 123
_space_group_name_Hall '-P 4 2'
_cell_length_a 5.665
_cell_length_b 5.665
_cell_length_c 4.721
_cell_angle_alpha 90.00
_cell_angle_beta 90.00
_cell_angle_gamma 90.00
loop_
_atom_site_label
_atom_site_type_symbol
_atom_site_fract_x
_atom_site_fract_y
_atom_site_fract_z
_atom_site_occupancy
Sr1 Sr 0.000 0.000 0.000 1
Sc1 Sc 0.500 0.500 0.500 1
Tl1 Tl 0.000 0.500 0.000 1
Ru1 Ru 0.000 0.000 0.500 1
```

Summary:
Total moment ... 0.008 μB per cell
Density of states at the Fermi level ... 4.99 states/eV/f.u.
Formation energy from the elements ... 1.332 eV/atom
Total energy ... -209.394 eV per cell

***

No. 4
Material: Sr2YScRu
Method: DFT, meta-GGA SCAN
State: PBEsol geometry

```
data_Sr2YScRu
_space_group_name_H-M_alt 'P 4/m m m'
_space_group_IT_number 123
_space_group_name_Hall '-P 4 2'
_cell_length_a 5.655
_cell_length_b 5.655
_cell_length_c 5.180
_cell_angle_alpha 90.00
_cell_angle_beta 90.00
_cell_angle_gamma 90.00
loop_
_atom_site_label
_atom_site_type_symbol
_atom_site_fract_x
_atom_site_fract_y
_atom_site_fract_z
_atom_site_occupancy
Sr1 Sr 0.000 0.500 0.000 1
Y1 Y 0.000 0.000 0.500 1
Sc1 Sc 0.500 0.500 0.500 1
Ru1 Ru 0.000 0.000 0.000 1
```

Summary:
Total moment ... 0.228 μB per cell
Density of states at the Fermi level ... 3.37 states/eV/f.u.
Formation energy from the elements ... 0.391 eV/atom
Total energy ... -119.500 eV per cell

***

No. 5
Material: ScTaRu2
Method: DFT, meta-GGA SCAN
State: PBEsol geometry

```
data_ScTaRu2
_space_group_name_H-M_alt 'I m m 2'
_space_group_IT_number 44
_space_group_name_Hall 'I 2 -2'
_cell_length_a 3.155
_cell_length_b 4.314
_cell_length_c 9.239
_cell_angle_alpha 90.00
_cell_angle_beta 90.00
_cell_angle_gamma 90.00
loop_
_atom_site_label
_atom_site_type_symbol
_atom_site_fract_x
_atom_site_fract_y
_atom_site_fract_z
_atom_site_occupancy
Sc1 Sc 0.000 0.000 0.000 1
Ta1 Ta 0.000 0.500 0.764 1
Ru1 Ru 0.000 0.000 0.498 1
Ru2 Ru 0.000 0.500 0.254 1
```

Summary:
Excess energy over the best structure of this formula in the dataset ... 334 meV per atom
Total moment ... 0.000 μB per cell
Density of states at the Fermi level ... 2.60 states/eV/f.u.
Formation energy from the elements ... -0.412 eV/atom
Total energy ... -304.245 eV per cell

***

No. 6
Material: ScTa2Ru
Method: DFT, meta-GGA SCAN
State: PBEsol geometry

```
data_ScTa2Ru
_space_group_name_H-M_alt 'I m m m'
_space_group_IT_number 71
_space_group_name_Hall '-I 2 2'
_cell_length_a 3.178
_cell_length_b 4.501
_cell_length_c 9.477
_cell_angle_alpha 90.00
_cell_angle_beta 90.00
_cell_angle_gamma 90.00
loop_
_atom_site_label
_atom_site_type_symbol
_atom_site_fract_x
_atom_site_fract_y
_atom_site_fract_z
_atom_site_occupancy
Sc1 Sc 0.000 0.000 0.000 1
Ta1 Ta 0.000 0.500 0.234 1
Ru1 Ru 0.000 0.000 0.500 1
```

Summary:
Total moment ... 0.000 μB per cell
Density of states at the Fermi level ... 2.94 states/eV/f.u.
Formation energy from the elements ... -0.321 eV/atom
Total energy ... -367.029 eV per cell

***

No. 7
Material: ScTa2Ru
Method: DFT, meta-GGA SCAN
State: PBEsol geometry

```
data_ScTa2Ru
_space_group_name_H-M_alt 'P 4/m m m'
_space_group_IT_number 123
_space_group_name_Hall '-P 4 2'
_cell_length_a 3.095
_cell_length_b 3.095
_cell_length_c 7.265
_cell_angle_alpha 90.00
_cell_angle_beta 90.00
_cell_angle_gamma 90.00
loop_
_atom_site_label
_atom_site_type_symbol
_atom_site_fract_x
_atom_site_fract_y
_atom_site_fract_z
_atom_site_occupancy
Sc1 Sc 0.000 0.000 0.000 1
Ta1 Ta 0.500 0.500 0.282 1
Ru1 Ru 0.000 0.000 0.500 1
```

Summary:
Total moment ... 0.000 μB per cell
Density of states at the Fermi level ... 3.44 states/eV/f.u.
Formation energy from the elements ... -0.082 eV/atom
Total energy ... -182.559 eV per cell

***

No. 8
Material: Sc2TaRu
Method: DFT, meta-GGA SCAN
State: PBEsol geometry

```
data_Sc2TaRu
_space_group_name_H-M_alt 'C m m m'
_space_group_IT_number 65
_space_group_name_Hall '-C 2 2'
_cell_length_a 3.308
_cell_length_b 4.835
_cell_length_c 8.904
_cell_angle_alpha 90.00
_cell_angle_beta 90.00
_cell_angle_gamma 90.00
loop_
_atom_site_label
_atom_site_type_symbol
_atom_site_fract_x
_atom_site_fract_y
_atom_site_fract_z
_atom_site_occupancy
Sc1 Sc 0.000 0.000 0.219 1
Ta1 Ta 0.000 0.500 0.500 1
Ru1 Ru 0.000 0.500 0.000 1
```

Summary:
Excess energy over the best structure of this formula in the dataset ... 34 meV per atom
Total moment ... 0.000 μB per cell
Density of states at the Fermi level ... 3.42 states/eV/f.u.
Formation energy from the elements ... -0.071 eV/atom
Total energy ... -260.333 eV per cell